# 1
A crystal of CsHfTiSn2 relaxed with PBEsol, computed with meta-GGA SCAN.

POSCAR file:
```
CsHfTiSn2
1.0
-2.909 -3.024 3.526
-1.990 -2.947 -4.170
4.385 -3.649 0.487
Ti Sn Cs Hf
1 2 1 1
Direct
0.500 0.500 0.500
0.500 0.000 0.000
0.000 0.500 0.000
0.000 0.000 0.500
0.000 0.000 0.000
```

For the formation energy, the calculation gives 1.004 eV/atom. The calculation puts the density of states at the Fermi level at 3.88 states/eV per cell.

=====

# 2
A crystal of ZnCdBS2 relaxed with PBEsol, computed with meta-GGA SCAN.

POSCAR file:
```
ZnCdBS2
1.0
-3.177 -2.455 0.038
1.442 -1.916 -3.219
2.670 -3.405 3.223
S B Zn Cd
2 1 1 1
Direct
0.000 0.500 0.000
0.500 0.000 0.000
0.000 0.000 0.000
0.500 0.500 0.500
0.000 0.000 0.500
```

As for the raw total energy: -13.416 eV/atom. The calculation puts the density of states at the Fermi level at 2.40 states/eV per cell.

=====

Calculated values (g cm⁻³) of theoretical density for the records, taken in order: 5.761; 4.826.